No. 1
An optimized crystal structure of Pm7Ho4Th. Source: Alexandria, functional PBE-GGA.

Lattice parameters (Å, degrees): 6.296 7.258 8.972 90.09 103.68 90.03
Positions (direct):
1 Pm 0.000 0.000 0.000
2 Pm 0.219 0.499 0.670
3 Pm 0.277 0.252 0.332
4 Pm 0.499 0.253 0.999
5 Pm 0.501 0.747 0.001
6 Pm 0.723 0.748 0.668
7 Pm 0.781 0.501 0.330
8 Ho 0.220 0.999 0.663
9 Ho 0.275 0.751 0.330
10 Ho 0.725 0.249 0.670
11 Ho 0.780 0.001 0.337
12 Th 0.000 0.500 0.000

Total DFT energy (no corrections) ... -58.80 eV for the cell shown
Formation enthalpy at 0 K ... 0.015 eV per atom

***

No. 2
An optimized crystal structure of Pm5Ho4Th2. Source: Alexandria, functional PBE-GGA.

Lattice parameters (Å, degrees): 8.861 3.514 11.834 90.00 94.33 90.00
Positions (direct):
1 Pm 0.000 0.000 0.000
2 Pm 0.073 0.000 0.291
3 Pm 0.308 0.000 0.838
4 Pm 0.692 0.000 0.162
5 Pm 0.927 0.000 0.709
6 Ho 0.197 0.500 0.546
7 Ho 0.339 0.500 0.109
8 Ho 0.661 0.500 0.891
9 Ho 0.803 0.500 0.454
10 Th 0.462 0.000 0.367
11 Th 0.538 0.000 0.633

Total DFT energy (no corrections) ... -55.52 eV for the cell shown
Formation enthalpy at 0 K ... 0.126 eV per atom

***

No. 3
An optimized crystal structure of Pm4Ho3Th2. Source: Alexandria, functional PBE-GGA.

Lattice parameters (Å, degrees): 10.061 10.061 6.183 96.18 96.18 72.03
Positions (direct):
1 Pm 0.088 0.812 0.983
2 Pm 0.151 0.417 0.153
3 Pm 0.188 0.912 0.517
4 Pm 0.417 0.151 0.653
5 Pm 0.583 0.849 0.347
6 Pm 0.812 0.088 0.483
7 Pm 0.849 0.583 0.847
8 Pm 0.912 0.188 0.017
9 Ho 0.059 0.279 0.582
10 Ho 0.279 0.059 0.082
11 Ho 0.393 0.607 0.250
12 Ho 0.607 0.393 0.750
13 Ho 0.721 0.941 0.918
14 Ho 0.941 0.721 0.418
15 Th 0.253 0.528 0.689
16 Th 0.472 0.747 0.811
17 Th 0.528 0.253 0.189
18 Th 0.747 0.472 0.311

Total DFT energy (no corrections) ... -93.02 eV for the cell shown
Formation enthalpy at 0 K ... 0.118 eV per atom

***

No. 4
An optimized crystal structure of PmHo12Th3. Source: Alexandria, functional PBE-GGA.

Lattice parameters (Å, degrees): 5.012 5.012 20.003 90.00 90.00 90.00
Positions (direct):
1 Pm 0.000 0.000 0.000
2 Ho 0.000 0.500 0.128
3 Ho 0.000 0.500 0.376
4 Ho 0.000 0.500 0.624
5 Ho 0.000 0.500 0.872
6 Ho 0.500 0.000 0.128
7 Ho 0.500 0.000 0.376
8 Ho 0.500 0.000 0.624
9 Ho 0.500 0.000 0.872
10 Ho 0.500 0.500 0.000
11 Ho 0.500 0.500 0.251
12 Ho 0.500 0.500 0.500
13 Ho 0.500 0.500 0.749
14 Th 0.000 0.000 0.251
15 Th 0.000 0.000 0.500
16 Th 0.000 0.000 0.749

Total DFT energy (no corrections) ... -81.42 eV for the cell shown
Formation enthalpy at 0 K ... 0.032 eV per atom

***

No. 5
An optimized crystal structure of Pm2Ho2Th. Source: Alexandria, functional PBE-GGA.

Lattice parameters (Å, degrees): 3.595 3.595 43.567 90.00 90.00 120.00
Positions (direct):
1 Pm 0.000 0.000 0.201
2 Pm 0.000 0.000 0.799
3 Pm 0.333 0.667 0.466
4 Pm 0.333 0.667 0.867
5 Pm 0.667 0.333 0.133
6 Pm 0.667 0.333 0.534
7 Ho 0.000 0.000 0.398
8 Ho 0.000 0.000 0.602
9 Ho 0.333 0.667 0.064
10 Ho 0.333 0.667 0.269
11 Ho 0.667 0.333 0.731
12 Ho 0.667 0.333 0.936
13 Th 0.000 0.000 0.000
14 Th 0.333 0.667 0.667
15 Th 0.667 0.333 0.333

Total DFT energy (no corrections) ... -78.03 eV for the cell shown
Formation enthalpy at 0 K ... 0.013 eV per atom

***

No. 6
An optimized crystal structure of Pm5Ho2Th3. Source: Alexandria, functional PBE-GGA.

Lattice parameters (Å, degrees): 6.244 6.244 11.400 90.03 90.03 48.00
Positions (direct):
1 Pm 0.000 0.000 0.000
2 Pm 0.199 0.199 0.599
3 Pm 0.301 0.301 0.897
4 Pm 0.699 0.699 0.103
5 Pm 0.801 0.801 0.401
6 Ho 0.402 0.402 0.205
7 Ho 0.598 0.598 0.795
8 Th 0.098 0.098 0.301
9 Th 0.500 0.500 0.500
10 Th 0.902 0.902 0.699

Total DFT energy (no corrections) ... -54.69 eV for the cell shown
Formation enthalpy at 0 K ... 0.047 eV per atom

***

No. 7
An optimized crystal structure of Pm3HoTh2. Source: Alexandria, functional PBE-GGA.

Lattice parameters (Å, degrees): 7.615 7.615 7.615 102.04 102.04 102.04
Positions (direct):
1 Pm 0.165 0.165 0.664
2 Pm 0.165 0.664 0.165
3 Pm 0.336 0.835 0.835
4 Pm 0.664 0.165 0.165
5 Pm 0.835 0.336 0.835
6 Pm 0.835 0.835 0.336
7 Ho 0.337 0.337 0.337
8 Ho 0.663 0.663 0.663
9 Th 0.000 0.000 0.000
10 Th 0.000 0.500 0.500
11 Th 0.500 0.000 0.500
12 Th 0.500 0.500 0.000

Total DFT energy (no corrections) ... -61.81 eV for the cell shown
Formation enthalpy at 0 K ... 0.460 eV per atom

***

No. 8
An optimized crystal structure of PmHo7Th2. Source: Alexandria, functional PBE-GGA.

Lattice parameters (Å, degrees): 9.386 9.386 5.499 90.00 90.00 124.94
Positions (direct):
1 Pm 0.000 0.000 0.000
2 Ho 0.065 0.287 0.500
3 Ho 0.208 0.792 0.000
4 Ho 0.287 0.065 0.500
5 Ho 0.500 0.500 0.500
6 Ho 0.713 0.935 0.500
7 Ho 0.792 0.208 0.000
8 Ho 0.935 0.713 0.500
9 Th 0.295 0.705 0.500
10 Th 0.705 0.295 0.500

Total DFT energy (no corrections) ... -43.92 eV for the cell shown
Formation enthalpy at 0 K ... 0.771 eV per atom

***

No. 9
An optimized crystal structure of Pm4Ho3Th2. Source: Alexandria, functional PBE-GGA.

Lattice parameters (Å, degrees): 3.578 3.578 26.911 90.00 90.00 120.00
Positions (direct):
1 Pm 0.000 0.000 0.000
2 Pm 0.000 0.000 0.215
3 Pm 0.333 0.667 0.328
4 Pm 0.333 0.667 0.545
5 Ho 0.000 0.000 0.436
6 Ho 0.333 0.667 0.106
7 Ho 0.333 0.667 0.765
8 Th 0.000 0.000 0.656
9 Th 0.000 0.000 0.872

Total DFT energy (no corrections) ... -46.88 eV for the cell shown
Formation enthalpy at 0 K ... 0.077 eV per atom

***

No. 10
An optimized crystal structure of Pm4HoTh2. Source: Alexandria, functional PBE-GGA.

Lattice parameters (Å, degrees): 5.672 5.672 16.726 90.00 90.00 90.00
Positions (direct):
1 Pm 0.000 0.000 0.188
2 Pm 0.000 0.000 0.812
3 Pm 0.000 0.500 0.000
4 Pm 0.000 0.500 0.500
5 Pm 0.500 0.000 0.000
6 Pm 0.500 0.000 0.500
7 Pm 0.500 0.500 0.312
8 Pm 0.500 0.500 0.688
9 Ho 0.000 0.000 0.000
10 Ho 0.500 0.500 0.500
11 Th 0.000 0.000 0.390
12 Th 0.000 0.000 0.610
13 Th 0.500 0.500 0.110
14 Th 0.500 0.500 0.890

Total DFT energy (no corrections) ... -65.97 eV for the cell shown
Formation enthalpy at 0 K ... 0.776 eV per atom

***

No. 11
An optimized crystal structure of Pm12HoTh5. Source: Alexandria, functional PBE-GGA.

Lattice parameters (Å, degrees): 6.282 6.282 17.823 93.35 93.35 120.00
Positions (direct):
1 Pm 0.053 0.389 0.162
2 Pm 0.113 0.113 0.337
3 Pm 0.220 0.554 0.661
4 Pm 0.283 0.283 0.838
5 Pm 0.389 0.053 0.162
6 Pm 0.446 0.780 0.339
7 Pm 0.554 0.220 0.661
8 Pm 0.611 0.947 0.838
9 Pm 0.717 0.717 0.162
10 Pm 0.780 0.446 0.339
11 Pm 0.887 0.887 0.663
12 Pm 0.947 0.611 0.838
13 Ho 0.000 0.000 0.000
14 Th 0.166 0.834 0.500
15 Th 0.333 0.667 0.000
16 Th 0.500 0.500 0.500
17 Th 0.667 0.333 0.000
18 Th 0.834 0.166 0.500

Total DFT energy (no corrections) ... -98.24 eV for the cell shown
Formation enthalpy at 0 K ... 0.025 eV per atom

***

No. 12
An optimized crystal structure of Pm8Ho6Th. Source: Alexandria, functional PBE-GGA.

Lattice parameters (Å, degrees): 8.727 8.727 8.727 62.80 62.80 62.80
Positions (direct):
1 Pm 0.078 0.078 0.078
2 Pm 0.217 0.255 0.614
3 Pm 0.255 0.614 0.217
4 Pm 0.386 0.783 0.745
5 Pm 0.614 0.217 0.255
6 Pm 0.745 0.386 0.783
7 Pm 0.783 0.745 0.386
8 Pm 0.922 0.922 0.922
9 Ho 0.037 0.746 0.597
10 Ho 0.254 0.403 0.963
11 Ho 0.403 0.963 0.254
12 Ho 0.597 0.037 0.746
13 Ho 0.746 0.597 0.037
14 Ho 0.963 0.254 0.403
15 Th 0.500 0.500 0.500

Total DFT energy (no corrections) ... -71.04 eV for the cell shown
Formation enthalpy at 0 K ... 0.123 eV per atom

***

Size of the total moment values (in μB/f.u.) by entry order: 0.00, 0.00, 0.00, 0.00, 0.00, 0.00, 0.00, 0.00, 0.00, 1.30, 0.00, 0.00.